Below is Ca9InP7O28 after structural relaxation, with properties calculated at the GGA-PBEsol level.

Output
formation energy from raw total energies: -2831 meV/atom
DOS at the Fermi energy: 0.000 states/eV per cell
SG: R3c (161)

The structure in POSCAR format:
```
Ca9InP7O28
1.0
10.3809 0.0000 0.0000
5.1905 8.9901 0.0000
5.1905 2.9967 12.3628
P O Ca In
14 56 18 2
Direct
0.2781 0.3148 0.5925
0.2258 0.6801 0.9025
0.7258 0.6916 0.4025
0.6916 0.1801 0.4025
0.2303 0.2303 0.3092
0.8146 0.2781 0.5925
0.1801 0.7258 0.4025
0.3148 0.8146 0.5925
0.3146 0.8148 0.0925
0.6801 0.1916 0.9025
0.8148 0.7781 0.0925
0.7781 0.3146 0.0925
0.1916 0.2258 0.9025
0.7303 0.7303 0.8092
0.2318 0.3907 0.2706
0.6346 0.3623 0.6180
0.1069 0.2318 0.2706
0.8659 0.1242 0.3611
0.7324 0.6384 0.5210
0.3623 0.3851 0.6180
0.1384 0.2324 0.0210
0.8686 0.3364 0.6505
0.1297 0.8615 0.8828
0.1489 0.6242 0.8611
0.6445 0.8364 0.1505
0.8178 0.3816 0.9702
0.3816 0.8305 0.9702
0.1046 0.4078 0.6303
0.3686 0.6445 0.1505
0.8615 0.1259 0.8828
0.8573 0.1046 0.6303
0.8816 0.3178 0.4702
0.3305 0.8816 0.4702
0.6082 0.1384 0.0210
0.1445 0.8686 0.6505
0.6259 0.3615 0.3828
0.3573 0.9078 0.1303
0.3178 0.3305 0.4702
0.4078 0.8573 0.6303
0.6297 0.6259 0.3828
0.6125 0.1627 0.3350
0.6489 0.8659 0.3611
0.6627 0.1125 0.8350
0.6384 0.1082 0.5210
0.1242 0.6489 0.3611
0.8851 0.8623 0.1180
0.1346 0.8851 0.1180
0.3851 0.6346 0.6180
0.6046 0.3573 0.1303
0.3898 0.6627 0.8350
0.1884 0.1884 0.4349
0.8898 0.6125 0.3350
0.3615 0.6297 0.3828
0.6069 0.8907 0.7706
0.8364 0.3686 0.1505
0.7318 0.6069 0.7706
0.3364 0.1445 0.6505
0.1082 0.7324 0.5210
0.9078 0.6046 0.1303
0.8623 0.1346 0.1180
0.2324 0.6082 0.0210
0.6242 0.3659 0.8611
0.1627 0.8898 0.3350
0.8305 0.8178 0.9702
0.3659 0.1489 0.8611
0.1259 0.1297 0.8828
0.8907 0.7318 0.7706
0.1125 0.3898 0.8350
0.3907 0.1069 0.2706
0.6884 0.6884 0.9349
0.0951 0.6456 0.1947
0.0646 0.0951 0.1947
0.5265 0.5487 0.9744
0.4243 0.4346 0.2933
0.0265 0.4504 0.4744
0.4504 0.0487 0.4744
0.4346 0.8479 0.2933
0.9346 0.9243 0.7933
0.3479 0.9346 0.7933
0.5487 0.9504 0.9744
0.0487 0.0265 0.4744
0.1456 0.5951 0.6947
0.8479 0.4243 0.2933
0.5951 0.5646 0.6947
0.6456 0.0646 0.1947
0.9243 0.3479 0.7933
0.5646 0.1456 0.6947
0.9504 0.5265 0.9744
0.5007 0.5007 0.4980
0.0007 0.0007 0.9980
```

=====

Below is Zn2InSb after structural relaxation, with properties calculated at the GGA-PBEsol level.

Output
polymorph energy (0 for the lowest one): 63 meV/atom
formation energy from raw total energies: 164 meV/atom
DOS at the Fermi energy: 1.721 states/eV per cell
SG: Fm-3m (225)

The structure in POSCAR format:
```
Zn2InSb
1.0
-1.9328 -4.1063 -1.8807
-1.1667 -3.7445 2.9583
-4.7160 -1.0985 0.8287
Zn Sb In
2 1 1
Direct
0.7500 0.7500 0.7500
0.2500 0.2500 0.2500
0.5000 0.5000 0.5000
0.0000 0.0000 0.0000
```